Compound: AcDyGa2
Source: Alexandria via LeMat-Bulk
Functional: PBE-GGA
Structure: optimized geometry

Results
E_form = -0.504 eV per atom
density of states at the Fermi level = 14.207 states/eV/cell
V = 448.6 Å³ per cell
E_tot = -4.195 eV/atom

Structure (CIF):
```
data_AcDyGa2
_chemical_formula_sum 'Ac4 Dy4 Ga8'
_cell_length_a 8.8259
_cell_length_b 4.3383
_cell_length_c 11.7172
_cell_angle_alpha 90.00
_cell_angle_beta 90.00
_cell_angle_gamma 90.00
_symmetry_space_group_name_H-M 'P n m a'
_symmetry_Int_Tables_number 62
_symmetry_space_group_name_Hall '-P 2ac 2n'
loop_
_atom_site_label
_atom_site_fract_x
_atom_site_fract_y
_atom_site_fract_z
Ac1 0.1305 0.2500 0.1340
Dy1 0.0054 0.7500 0.3845
Ga1 0.1610 0.2500 0.8295
Ga2 0.2379 0.2500 0.4320
```

Compound: Na2GaCuNi
Source: Alexandria via LeMat-Bulk
Functional: PBE-GGA
Structure: optimized geometry

Results
E_form = 0.478 eV per atom
density of states at the Fermi level = 1.036 states/eV/cell
V = 121.9 Å³ per cell
E_tot = -2.630 eV/atom

Structure (CIF):
```
data_Na2GaCuNi
_chemical_formula_sum 'Na2 Ga1 Cu1 Ni1'
_cell_length_a 5.1702
_cell_length_b 5.1702
_cell_length_c 4.5598
_cell_angle_alpha 90.00
_cell_angle_beta 90.00
_cell_angle_gamma 90.00
_symmetry_space_group_name_H-M 'P 4/m m m'
_symmetry_Int_Tables_number 123
_symmetry_space_group_name_Hall '-P 4 2'
loop_
_atom_site_label
_atom_site_fract_x
_atom_site_fract_y
_atom_site_fract_z
Na1 0.0000 0.5000 0.0000
Ga1 0.0000 0.0000 0.5000
Cu1 0.5000 0.5000 0.5000
Ni1 0.0000 0.0000 0.0000
```

Compound: BaZnH3
Source: Alexandria via LeMat-Bulk
Functional: PBE-GGA
Structure: optimized geometry

Results
relative energy among the computed polymorphs = 0.7197 eV/atom
density of states at the Fermi level = 2.638 states/eV/cell
V = 117.2 Å³ per cell
E_tot = -2.224 eV/atom

Structure (CIF):
```
data_BaZnH3
_chemical_formula_sum 'Ba1 Zn1 H3'
_cell_length_a 4.8939
_cell_length_b 4.8939
_cell_length_c 4.8939
_cell_angle_alpha 90.00
_cell_angle_beta 90.00
_cell_angle_gamma 90.00
_symmetry_space_group_name_H-M 'P m -3 m'
_symmetry_Int_Tables_number 221
_symmetry_space_group_name_Hall '-P 4 2 3'
loop_
_atom_site_label
_atom_site_fract_x
_atom_site_fract_y
_atom_site_fract_z
Ba1 0.0000 0.0000 0.0000
Zn1 0.5000 0.5000 0.5000
H1 0.0000 0.0000 0.5000
```

Compound: BeBiSe2
Source: Alexandria via LeMat-Bulk
Functional: PBE-GGA
Structure: optimized geometry

Results
relative energy among the computed polymorphs = 0.2158 eV/atom
energy relative to the elements, uncorrected = -70 meV/atom
density of states at the Fermi level = 5.622 states/eV/cell
V = 404.9 Å³ per cell
E_tot = -3.714 eV/atom

Structure (CIF):
```
data_BeBiSe2
_chemical_formula_sum 'Be3 Bi3 Se6'
_cell_length_a 4.9087
_cell_length_b 4.9087
_cell_length_c 19.4019
_cell_angle_alpha 90.00
_cell_angle_beta 90.00
_cell_angle_gamma 120.00
_symmetry_space_group_name_H-M 'R -3 m'
_symmetry_Int_Tables_number 166
_symmetry_space_group_name_Hall '-R 3 2"'
loop_
_atom_site_label
_atom_site_fract_x
_atom_site_fract_y
_atom_site_fract_z
Be1 0.0000 0.0000 0.0000
Bi1 0.0000 0.0000 0.5000
Se1 0.0000 0.0000 0.1047
```

Compound: Ca3Sm3ScS8
Source: Alexandria via LeMat-Bulk
Functional: PBE-GGA
Structure: optimized geometry

Results
energy relative to the elements, uncorrected = -2063 meV/atom
density of states at the Fermi level = 13.709 states/eV/cell
V = 1078.3 Å³ per cell
E_tot = -6.030 eV/atom

Structure (CIF):
```
data_Ca3Sm3ScS8
_chemical_formula_sum 'Ca9 Sm9 Sc3 S24'
_cell_length_a 7.9382
_cell_length_b 7.9382
_cell_length_c 19.7597
_cell_angle_alpha 90.00
_cell_angle_beta 90.00
_cell_angle_gamma 120.00
_symmetry_space_group_name_H-M 'R -3 m'
_symmetry_Int_Tables_number 166
_symmetry_space_group_name_Hall '-R 3 2"'
loop_
_atom_site_label
_atom_site_fract_x
_atom_site_fract_y
_atom_site_fract_z
Ca1 0.0000 0.5000 0.0000
Sm1 0.0000 0.5000 0.5000
Sc1 0.0000 0.0000 0.5000
S1 0.0000 0.0000 0.2507
S2 0.0193 0.5096 0.2446
```

Compound: Nd8Ni2Ru
Source: Alexandria via LeMat-Bulk
Functional: PBE-GGA
Structure: optimized geometry

Results
E_form = -0.065 eV per atom
relative energy among the computed polymorphs = 0.0622 eV/atom
density of states at the Fermi level = 22.656 states/eV/cell
V = 635.8 Å³ per cell
E_tot = -5.427 eV/atom

Structure (CIF):
```
data_Nd8Ni2Ru
_chemical_formula_sum 'Nd16 Ni4 Ru2'
_cell_length_a 8.3774
_cell_length_b 12.6550
_cell_length_c 6.3914
_cell_angle_alpha 90.00
_cell_angle_beta 110.23
_cell_angle_gamma 90.00
_symmetry_space_group_name_H-M 'C 1 m 1'
_symmetry_Int_Tables_number 8
_symmetry_space_group_name_Hall 'C -2y'
loop_
_atom_site_label
_atom_site_fract_x
_atom_site_fract_y
_atom_site_fract_z
Nd1 0.0000 0.0000 0.0000
Nd2 0.0709 0.3680 0.8163
Nd3 0.1421 0.1333 0.5870
Nd4 0.2154 0.5000 0.3758
Nd5 0.3609 0.2012 0.1933
Ni1 0.3532 0.3117 0.6897
Ru1 0.3553 0.0000 0.0126
```